Entry 1:
A relaxed structure of ScTe2Pd, computed with GGA-PBE.

Unit cell a=3.9931 b=3.9931 c=25.9671 alpha=90.00 beta=90.00 gamma=120.00
Space group R-3m (No. 166, hexagonal axes)
One atom of each set of equivalent atoms:
1 Sc 0.0000 0.0000 0.0000
2 Te 0.0000 0.0000 0.4010
3 Pd 0.0000 0.0000 0.5000

Properties
Distance to the lowest polymorph of the same formula: 251 meV per atom

=====

Entry 2:
A relaxed structure of ScTe2Pd8, computed with GGA-PBE.

Unit cell a=4.0811 b=7.4367 c=12.7995 alpha=90.00 beta=90.00 gamma=90.00
Space group Immm (No. 71)
One atom of each set of equivalent atoms:
1 Sc 0.0000 0.0000 0.0000
2 Te 0.0000 0.0000 0.3345
3 Pd 0.0000 0.2231 0.5000
4 Pd 0.0000 0.2607 0.1671
5 Pd 0.0000 0.5000 0.3523

Properties
Raw total energy: -5.38 eV/atom

=====

Entry 3:
A relaxed structure of ScTePd14, computed with GGA-PBE.

Unit cell a=5.7062 b=5.7062 c=7.8339 alpha=90.00 beta=90.00 gamma=90.00
Space group P4/mmm (No. 123)
One atom of each set of equivalent atoms:
1 Sc 0.0000 0.0000 0.0000
2 Te 0.5000 0.5000 0.0000
3 Pd 0.0000 0.0000 0.5000
4 Pd 0.0000 0.5000 0.0000
5 Pd 0.0000 0.5000 0.5000
6 Pd 0.2487 0.2487 0.2509
7 Pd 0.5000 0.5000 0.5000

Properties
Raw total energy: -5.40 eV/atom

=====

Entry 4:
A relaxed structure of ScTePd, computed with GGA-PBE.

Unit cell a=8.6979 b=8.6979 c=4.1660 alpha=90.00 beta=90.00 gamma=90.00
Space group P4_2/m (No. 84)
One atom of each set of equivalent atoms:
1 Sc 0.0429 0.6975 0.0000
2 Te 0.1785 0.4077 0.5000
3 Pd 0.2372 0.7155 0.5000

Properties
Raw total energy: -5.45 eV/atom